The following is a PBE calculation of Mg3CuSe after structural relaxation, from Alexandria.

* excess energy over the best structure of this formula in the dataset: 236 meV per atom
* space-group type: Pm-3m (221)
* raw formation energy: 0.007 eV/f.u.
* ρ: 3.1 g/cm3

```
data_Mg3CuSe
_chemical_formula_sum 'Mg3 Cu1 Se1'
_cell_length_a 4.875
_cell_length_b 4.875
_cell_length_c 4.875
_cell_angle_alpha 90.00
_cell_angle_beta 90.00
_cell_angle_gamma 90.00
_space_group_name_H-M_alt 'P 1'
_space_group_IT_number 1
loop_
_space_group_symop_operation_xyz
'x,y,z'
loop_
_atom_site_label
_atom_site_fract_x
_atom_site_fract_y
_atom_site_fract_z
Mg1 0.000 0.000 0.500
Mg2 0.000 0.500 0.000
Mg3 0.500 0.000 0.000
Cu1 0.000 0.000 0.000
Se1 0.500 0.500 0.500
```

---

The following is a PBE calculation of Sr2HfBr after structural relaxation, from Alexandria.

* excess energy over the best structure of this formula in the dataset: 109 meV per atom
* space-group type: Fm-3m (225)
* raw formation energy: 1.373 eV/f.u.
* ρ: 4.9 g/cm3

```
data_Sr2HfBr
_chemical_formula_sum 'Sr2 Hf1 Br1'
_cell_length_a 5.915
_cell_length_b 5.915
_cell_length_c 5.915
_cell_angle_alpha 60.00
_cell_angle_beta 60.00
_cell_angle_gamma 60.00
_space_group_name_H-M_alt 'P 1'
_space_group_IT_number 1
loop_
_space_group_symop_operation_xyz
'x,y,z'
loop_
_atom_site_label
_atom_site_fract_x
_atom_site_fract_y
_atom_site_fract_z
Sr1 0.250 0.250 0.250
Sr2 0.750 0.750 0.750
Hf1 0.000 0.000 0.000
Br1 0.500 0.500 0.500
```

---

The following is a PBE calculation of LaGa2Sn2 after structural relaxation, from Alexandria.

* excess energy over the best structure of this formula in the dataset: 83 meV per atom
* space-group type: I4/mmm (139)
* ρ: 6.7 g/cm3
* formation enthalpy at 0 K: -0.3382 eV per atom

```
data_LaGa2Sn2
_chemical_formula_sum 'La1 Ga2 Sn2'
_cell_length_a 6.044
_cell_length_b 6.044
_cell_length_c 6.044
_cell_angle_alpha 129.52
_cell_angle_beta 129.52
_cell_angle_gamma 74.18
_space_group_name_H-M_alt 'P 1'
_space_group_IT_number 1
loop_
_space_group_symop_operation_xyz
'x,y,z'
loop_
_atom_site_label
_atom_site_fract_x
_atom_site_fract_y
_atom_site_fract_z
La1 0.000 0.000 0.000
Ga1 0.371 0.371 0.000
Ga2 0.629 0.629 0.000
Sn1 0.250 0.750 0.500
Sn2 0.750 0.250 0.500
```

---

The following is a PBE calculation of Ce3PrTh2Te6 after structural relaxation, from Alexandria.

* space-group type: C2/m (12)
* raw formation energy: -15.148 eV/f.u.
* ρ: 7.8 g/cm3

```
data_Ce3PrTh2Te6
_chemical_formula_sum 'Ce3 Pr1 Th2 Te6'
_cell_length_a 7.720
_cell_length_b 7.720
_cell_length_c 7.838
_cell_angle_alpha 99.44
_cell_angle_beta 99.44
_cell_angle_gamma 119.94
_space_group_name_H-M_alt 'P 1'
_space_group_IT_number 1
loop_
_space_group_symop_operation_xyz
'x,y,z'
loop_
_atom_site_label
_atom_site_fract_x
_atom_site_fract_y
_atom_site_fract_z
Ce1 0.000 0.000 0.000
Ce2 0.335 0.665 0.000
Ce3 0.665 0.335 0.000
Pr1 0.500 0.500 0.500
Th1 0.167 0.833 0.500
Th2 0.833 0.167 0.500
Te1 0.081 0.416 0.247
Te2 0.249 0.249 0.751
Te3 0.416 0.081 0.247
Te4 0.584 0.919 0.753
Te5 0.751 0.751 0.249
Te6 0.919 0.584 0.753
```

---

The following is a PBE calculation of Nd3SmDy2S6 after structural relaxation, from Alexandria.

* space-group type: C2/m (12)
* raw formation energy: -24.238 eV/f.u.
* ρ: 6.7 g/cm3

```
data_Nd3SmDy2S6
_chemical_formula_sum 'Nd3 Sm1 Dy2 S6'
_cell_length_a 6.921
_cell_length_b 6.921
_cell_length_c 6.973
_cell_angle_alpha 99.50
_cell_angle_beta 99.50
_cell_angle_gamma 120.16
_space_group_name_H-M_alt 'P 1'
_space_group_IT_number 1
loop_
_space_group_symop_operation_xyz
'x,y,z'
loop_
_atom_site_label
_atom_site_fract_x
_atom_site_fract_y
_atom_site_fract_z
Nd1 0.000 0.000 0.000
Nd2 0.336 0.664 0.000
Nd3 0.664 0.336 0.000
Sm1 0.500 0.500 0.500
Dy1 0.166 0.834 0.500
Dy2 0.834 0.166 0.500
S1 0.081 0.421 0.261
S2 0.239 0.239 0.736
S3 0.421 0.081 0.261
S4 0.579 0.919 0.739
S5 0.761 0.761 0.264
S6 0.919 0.579 0.739
```

---

The following is a PBE calculation of HoSc2Ge after structural relaxation, from Alexandria.

* excess energy over the best structure of this formula in the dataset: 0 meV per atom
* space-group type: Cmcm (63)
* ρ: 5.7 g/cm3
* formation enthalpy at 0 K: -0.4969 eV per atom

```
data_HoSc2Ge
_chemical_formula_sum 'Ho2 Sc4 Ge2'
_cell_length_a 6.006
_cell_length_b 6.006
_cell_length_c 8.481
_cell_angle_alpha 90.00
_cell_angle_beta 90.00
_cell_angle_gamma 141.25
_space_group_name_H-M_alt 'P 1'
_space_group_IT_number 1
loop_
_space_group_symop_operation_xyz
'x,y,z'
loop_
_atom_site_label
_atom_site_fract_x
_atom_site_fract_y
_atom_site_fract_z
Ho1 0.059 0.941 0.750
Ho2 0.941 0.059 0.250
Sc1 0.358 0.642 0.557
Sc2 0.358 0.642 0.943
Sc3 0.642 0.358 0.057
Sc4 0.642 0.358 0.443
Ge1 0.241 0.759 0.250
Ge2 0.759 0.241 0.750
```

---

The following is a PBE calculation of PuZrIrPd after structural relaxation, from Alexandria.

* space-group type: F-43m (216)
* ρ: 13.4 g/cm3
* formation enthalpy at 0 K: -0.5084 eV per atom

```
data_PuZrIrPd
_chemical_formula_sum 'Pu1 Zr1 Ir1 Pd1'
_cell_length_a 4.810
_cell_length_b 4.810
_cell_length_c 4.810
_cell_angle_alpha 60.00
_cell_angle_beta 60.00
_cell_angle_gamma 60.00
_space_group_name_H-M_alt 'P 1'
_space_group_IT_number 1
loop_
_space_group_symop_operation_xyz
'x,y,z'
loop_
_atom_site_label
_atom_site_fract_x
_atom_site_fract_y
_atom_site_fract_z
Pu1 0.000 0.000 0.000
Zr1 0.500 0.500 0.500
Ir1 0.750 0.750 0.750
Pd1 0.250 0.250 0.250
```

---

The following is a PBE calculation of Mg3ScCu8 after structural relaxation, from Alexandria.

* excess energy over the best structure of this formula in the dataset: 0 meV per atom
* space-group type: R3m (160)
* ρ: 5.9 g/cm3
* formation enthalpy at 0 K: -0.1796 eV per atom

```
data_Mg3ScCu8
_chemical_formula_sum 'Mg3 Sc1 Cu8'
_cell_length_a 8.611
_cell_length_b 8.611
_cell_length_c 8.611
_cell_angle_alpha 33.78
_cell_angle_beta 33.78
_cell_angle_gamma 33.78
_space_group_name_H-M_alt 'P 1'
_space_group_IT_number 1
loop_
_space_group_symop_operation_xyz
'x,y,z'
loop_
_atom_site_label
_atom_site_fract_x
_atom_site_fract_y
_atom_site_fract_z
Mg1 0.000 0.000 0.000
Mg2 0.124 0.124 0.124
Mg3 0.628 0.628 0.628
Sc1 0.502 0.502 0.502
Cu1 0.064 0.064 0.562
Cu2 0.064 0.562 0.064
Cu3 0.064 0.564 0.564
Cu4 0.314 0.314 0.314
Cu5 0.562 0.064 0.064
Cu6 0.564 0.064 0.564
Cu7 0.564 0.564 0.064
Cu8 0.813 0.813 0.813
```

---

The following is a PBE calculation of BeCoCu2Rh after structural relaxation, from Alexandria.

* space-group type: P4/mmm (123)
* ρ: 5.2 g/cm3
* formation enthalpy at 0 K: 1.4696 eV per atom

```
data_BeCoCu2Rh
_chemical_formula_sum 'Be1 Co1 Cu2 Rh1'
_cell_length_a 4.612
_cell_length_b 4.612
_cell_length_c 4.467
_cell_angle_alpha 90.00
_cell_angle_beta 90.00
_cell_angle_gamma 90.00
_space_group_name_H-M_alt 'P 1'
_space_group_IT_number 1
loop_
_space_group_symop_operation_xyz
'x,y,z'
loop_
_atom_site_label
_atom_site_fract_x
_atom_site_fract_y
_atom_site_fract_z
Be1 0.000 0.000 0.000
Co1 0.500 0.500 0.000
Cu1 0.000 0.500 0.500
Cu2 0.500 0.000 0.500
Rh1 0.500 0.500 0.500
```

---

The following is a PBE calculation of AlRhBr after structural relaxation, from Alexandria.

* excess energy over the best structure of this formula in the dataset: 0 meV per atom
* space-group type: P3m1 (156)
* raw formation energy: -0.842 eV/f.u.
* ρ: 6.4 g/cm3

```
data_AlRhBr
_chemical_formula_sum 'Al1 Rh1 Br1'
_cell_length_a 3.255
_cell_length_b 3.255
_cell_length_c 5.978
_cell_angle_alpha 90.00
_cell_angle_beta 90.00
_cell_angle_gamma 120.00
_space_group_name_H-M_alt 'P 1'
_space_group_IT_number 1
loop_
_space_group_symop_operation_xyz
'x,y,z'
loop_
_atom_site_label
_atom_site_fract_x
_atom_site_fract_y
_atom_site_fract_z
Al1 0.000 0.000 0.000
Rh1 0.333 0.667 0.739
Br1 0.667 0.333 0.322
```

---

The following is a PBE calculation of Cd2HgHRh after structural relaxation, from Alexandria.

* excess energy over the best structure of this formula in the dataset: 0 meV per atom
* space-group type: P4/mmm (123)
* ρ: 10.8 g/cm3

```
data_Cd2HgHRh
_chemical_formula_sum 'Cd2 Hg1 H1 Rh1'
_cell_length_a 4.905
_cell_length_b 4.905
_cell_length_c 3.382
_cell_angle_alpha 90.00
_cell_angle_beta 90.00
_cell_angle_gamma 90.00
_space_group_name_H-M_alt 'P 1'
_space_group_IT_number 1
loop_
_space_group_symop_operation_xyz
'x,y,z'
loop_
_atom_site_label
_atom_site_fract_x
_atom_site_fract_y
_atom_site_fract_z
Cd1 0.000 0.500 0.000
Cd2 0.500 0.000 0.000
Hg1 0.000 0.000 0.500
H1 0.500 0.500 0.000
Rh1 0.500 0.500 0.500
```

---

The following is a PBE calculation of YTcF2 after structural relaxation, from Alexandria.

* excess energy over the best structure of this formula in the dataset: 16 meV per atom
* space-group type: I-42d (122)
* raw formation energy: -5.425 eV/f.u.
* ρ: 5.6 g/cm3

```
data_YTcF2
_chemical_formula_sum 'Y2 Tc2 F4'
_cell_length_a 8.127
_cell_length_b 8.127
_cell_length_c 8.127
_cell_angle_alpha 150.07
_cell_angle_beta 150.07
_cell_angle_gamma 42.84
_space_group_name_H-M_alt 'P 1'
_space_group_IT_number 1
loop_
_space_group_symop_operation_xyz
'x,y,z'
loop_
_atom_site_label
_atom_site_fract_x
_atom_site_fract_y
_atom_site_fract_z
Y1 0.000 0.000 0.000
Y2 0.750 0.250 0.500
Tc1 0.250 0.750 0.500
Tc2 0.500 0.500 0.000
F1 0.101 0.625 0.976
F2 0.375 0.351 0.476
F3 0.649 0.125 0.024
F4 0.875 0.899 0.524
```